(1)
A plane-wave DFT calculation with PBE was carried out for a relaxed structure of KTlFe2.

ΔE_f   1.0941 eV per atom
Spin magnetization   1.3984 μB/atom
Total energy   -32.03 eV/cell
DOS at the Fermi energy   1.3541 states/eV per atom
Distance to the lowest polymorph of the same formula   0.6104 eV/atom
Density   6.9 g/cm3

Cell: 6.250 10.212 2.914 Å, 90.00 113.27 90.00°
Sites, in units of the cell vectors:
K 0.000 0.000 0.000
K 0.500 0.500 0.000
Tl 0.000 0.500 0.000
Tl 0.500 0.000 0.000
Fe 0.250 0.250 0.500
Fe 0.250 0.750 0.500
Fe 0.750 0.250 0.500
Fe 0.750 0.750 0.500

---

(2)
A plane-wave DFT calculation with PBE was carried out for a relaxed structure of KTlFe2.

ΔE_f   0.8060 eV per atom
Spin magnetization   1.3317 μB/atom
Total energy   -17.17 eV/cell
DOS at the Fermi energy   0.8793 states/eV per atom
Distance to the lowest polymorph of the same formula   0.3223 eV/atom
Density   6.1 g/cm3

Cell: 3.092 4.295 7.305 Å, 90.00 90.00 90.00°
Sites, in units of the cell vectors:
K 0.000 0.000 0.000
Tl 0.000 0.000 0.500
Fe 0.500 0.500 0.351
Fe 0.500 0.500 0.649

---

(3)
A plane-wave DFT calculation with PBE was carried out for a relaxed structure of KTlFe2.

ΔE_f   1.1300 eV per atom
Spin magnetization   1.4550 μB/atom
Total energy   -31.74 eV/cell
DOS at the Fermi energy   1.4328 states/eV per atom
Distance to the lowest polymorph of the same formula   0.6463 eV/atom
Density   6.8 g/cm3

Cell: 6.220 9.649 2.907 Å, 90.00 90.00 90.00°
Sites, in units of the cell vectors:
K 0.000 0.000 0.000
K 0.500 0.500 0.000
Tl 0.000 0.500 0.000
Tl 0.500 0.000 0.000
Fe 0.250 0.250 0.500
Fe 0.250 0.750 0.500
Fe 0.750 0.250 0.500
Fe 0.750 0.750 0.500

---

(4)
A plane-wave DFT calculation with PBE was carried out for a relaxed structure of KTl2Fe.

ΔE_f   0.5001 eV per atom
Spin magnetization   0.4690 μB/atom
Total energy   -49.17 eV/cell
DOS at the Fermi energy   0.6800 states/eV per atom
Density   5.1 g/cm3

Cell: 6.466 6.466 15.773 Å, 90.00 90.00 90.00°
Sites, in units of the cell vectors:
K 0.000 0.000 0.000
K 0.000 0.500 0.250
K 0.500 0.000 0.750
K 0.500 0.500 0.500
Tl 0.004 0.250 0.625
Tl 0.250 0.504 0.875
Tl 0.250 0.996 0.375
Tl 0.496 0.250 0.125
Tl 0.504 0.750 0.125
Tl 0.750 0.004 0.375
Tl 0.750 0.496 0.875
Tl 0.996 0.750 0.625
Fe 0.000 0.000 0.500
Fe 0.000 0.500 0.750
Fe 0.500 0.000 0.250
Fe 0.500 0.500 0.000

---

(5)
A plane-wave DFT calculation with PBE was carried out for a relaxed structure of KTlFe2.

ΔE_f   1.1050 eV per atom
Spin magnetization   1.3641 μB/atom
Total energy   -15.97 eV/cell
DOS at the Fermi energy   1.5451 states/eV per atom
Distance to the lowest polymorph of the same formula   0.6213 eV/atom
Density   6.9 g/cm3

Cell: 3.037 5.188 5.386 Å, 90.00 90.00 90.00°
Sites, in units of the cell vectors:
K 0.000 0.000 0.000
Tl 0.500 0.000 0.500
Fe 0.000 0.500 0.500
Fe 0.500 0.500 0.000

---

(6)
A plane-wave DFT calculation with PBE was carried out for a relaxed structure of K2TlFe.

ΔE_f   0.7408 eV per atom
Spin magnetization   0.7735 μB/atom
Total energy   -10.06 eV/cell
DOS at the Fermi energy   1.1495 states/eV per atom
Distance to the lowest polymorph of the same formula   0.2844 eV/atom
Density   4.2 g/cm3

Cell: 3.536 3.536 10.827 Å, 90.00 90.00 90.00°
Sites, in units of the cell vectors:
K 0.000 0.000 0.229
K 0.000 0.000 0.771
Tl 0.500 0.500 0.500
Fe 0.500 0.500 0.000

---

(7)
A plane-wave DFT calculation with PBE was carried out for a relaxed structure of K2TlFe.

ΔE_f   0.7197 eV per atom
Spin magnetization   0.6886 μB/atom
Total energy   -10.14 eV/cell
DOS at the Fermi energy   0.8360 states/eV per atom
Distance to the lowest polymorph of the same formula   0.2633 eV/atom
Density   4.3 g/cm3

Cell: 3.654 5.595 6.350 Å, 90.00 90.00 90.00°
Sites, in units of the cell vectors:
K 0.000 0.000 0.245
K 0.000 0.000 0.755
Tl 0.500 0.500 0.500
Fe 0.500 0.500 0.000

---

(8)
A plane-wave DFT calculation with PBE was carried out for a relaxed structure of K2TlFe.

ΔE_f   0.5318 eV per atom
Spin magnetization   0.6441 μB/atom
Total energy   -10.90 eV/cell
DOS at the Fermi energy   1.0112 states/eV per atom
Distance to the lowest polymorph of the same formula   0.0753 eV/atom
Density   3.5 g/cm3

Cell: 5.508 4.699 6.722 Å, 90.00 113.85 90.00°
Sites, in units of the cell vectors:
K 0.000 0.000 0.000
K 0.290 0.500 0.592
Tl 0.691 0.000 0.396
Fe 0.609 0.500 0.213

---

(9)
A plane-wave DFT calculation with PBE was carried out for a relaxed structure of KTlFe2.

ΔE_f   1.0701 eV per atom
Spin magnetization   1.3573 μB/atom
Total energy   -48.33 eV/cell
DOS at the Fermi energy   1.1959 states/eV per atom
Distance to the lowest polymorph of the same formula   0.5863 eV/atom
Density   6.9 g/cm3

Cell: 3.066 3.066 31.416 Å, 90.00 90.00 120.00°
Sites, in units of the cell vectors:
K 0.000 0.000 0.000
K 0.333 0.667 0.667
K 0.667 0.333 0.333
Tl 0.000 0.000 0.500
Tl 0.333 0.667 0.167
Tl 0.667 0.333 0.833
Fe 0.000 0.000 0.240
Fe 0.000 0.000 0.760
Fe 0.333 0.667 0.427
Fe 0.333 0.667 0.907
Fe 0.667 0.333 0.093
Fe 0.667 0.333 0.573

---

(10)
A plane-wave DFT calculation with PBE was carried out for a relaxed structure of KTl2Fe.

ΔE_f   0.3458 eV per atom
Spin magnetization   0.6960 μB/atom
Total energy   -12.91 eV/cell
DOS at the Fermi energy   1.1387 states/eV per atom
Density   8.0 g/cm3

Cell: 3.321 3.717 8.507 Å, 90.00 90.00 90.00°
Sites, in units of the cell vectors:
K 0.000 0.000 0.000
Tl 0.500 0.500 0.311
Tl 0.500 0.500 0.689
Fe 0.000 0.000 0.500

---

(11)
A plane-wave DFT calculation with PBE was carried out for a relaxed structure of KTl2Fe.

ΔE_f   0.6324 eV per atom
Spin magnetization   0.7509 μB/atom
Total energy   -11.76 eV/cell
DOS at the Fermi energy   0.8761 states/eV per atom
Density   7.8 g/cm3

Cell: 5.524 5.524 3.502 Å, 90.00 90.00 90.00°
Sites, in units of the cell vectors:
K 0.000 0.000 0.000
Tl 0.000 0.500 0.500
Tl 0.500 0.000 0.500
Fe 0.500 0.500 0.000

---

(12)
A plane-wave DFT calculation with PBE was carried out for a relaxed structure of KTlFe3.

ΔE_f   1.4564 eV per atom
Spin magnetization   1.8862 μB/atom
Total energy   -21.57 eV/cell
DOS at the Fermi energy   3.2182 states/eV per atom
Distance to the lowest polymorph of the same formula   0.0000 eV/atom
Density   5.1 g/cm3

Cell: 5.127 5.127 5.127 Å, 90.00 90.00 90.00°
Sites, in units of the cell vectors:
K 0.000 0.000 0.000
Tl 0.500 0.500 0.500
Fe 0.000 0.500 0.500
Fe 0.500 0.000 0.500
Fe 0.500 0.500 0.000